The following is a PBEsol calculation of an optimized crystal structure of Li9Mn2Co5O16, from Alexandria via LeMat-Bulk.

Computed properties:
- ΔE_f (raw): -1.671 eV/atom
- Relative energy among the computed polymorphs: 1.6 kJ/mol of atoms

```
Li9Mn2Co5O16
1.0
4.839 0.000 -0.060
0.000 5.643 0.000
-1.490 0.000 9.354
Li O Co Mn
9 16 5 2
direct
0.241 0.498 0.768
0.247 0.260 0.239
0.253 0.002 0.759
0.000 0.500 0.000
0.250 0.738 0.236
0.759 0.498 0.232
0.753 0.260 0.761
0.750 0.738 0.764
0.747 0.002 0.241
0.630 0.250 0.395
0.370 0.250 0.605
0.631 0.000 0.889
0.369 0.750 0.609
0.867 0.237 0.115
0.870 0.001 0.608
0.132 0.763 0.885
0.130 0.001 0.392
0.130 0.500 0.391
0.392 0.500 0.112
0.369 0.000 0.111
0.133 0.237 0.885
0.870 0.500 0.609
0.868 0.763 0.115
0.608 0.500 0.888
0.631 0.750 0.391
0.500 0.500 0.500
0.500 0.253 0.000
0.500 0.747 0.000
0.500 0.001 0.500
0.000 0.250 0.500
0.000 0.000 0.000
0.000 0.750 0.500
```



The following is a PBEsol calculation of an optimized crystal structure of NbCo3F, from Alexandria via LeMat-Bulk.

Computed properties:
- ΔE_f (raw): 1.591 eV/atom
- Relative energy among the computed polymorphs: 116.1 kJ/mol of atoms

```
NbCo3F
1.0
-2.152 -0.474 -3.870
-1.063 -4.182 1.103
-3.752 1.457 1.907
Co F Nb
3 1 1
direct
0.500 0.000 0.000
0.000 0.000 0.500
0.000 0.500 0.000
0.500 0.500 0.500
0.000 0.000 0.000
```



The following is a PBEsol calculation of an optimized crystal structure of Li2CaZn, from Alexandria via LeMat-Bulk.

Computed properties:
- ΔH_f (0 K): -41 meV/atom

```
Li2CaZn
1.0
-4.146 1.281 0.303
-0.472 -2.380 3.610
3.569 4.043 0.511
Li Ca Zn
2 1 1
direct
0.250 0.750 0.500
0.750 0.250 0.500
0.000 0.000 0.000
0.500 0.500 0.000
```



The following is a PBEsol calculation of an optimized crystal structure of Co2ReTc, from Alexandria via LeMat-Bulk.

Computed properties:
- ΔH_f (0 K): -97 meV/atom
- Relative energy among the computed polymorphs: 0.0 kJ/mol of atoms

```
Co2ReTc
1.0
2.580 0.000 0.000
0.000 4.130 0.000
0.000 0.000 4.502
Co Tc Re
2 1 1
direct
0.000 0.000 0.035
0.000 0.500 0.718
0.500 0.500 0.199
0.500 0.000 0.548
```



The following is a PBEsol calculation of an optimized crystal structure of CaAgPt3, from Alexandria via LeMat-Bulk.

Computed properties:
- ΔH_f (0 K): 1416 meV/atom

```
CaAgPt3
1.0
-1.068 -4.518 -1.248
1.846 -1.581 4.147
-4.308 0.442 2.086
Ca Ag Pt
1 1 3
direct
0.000 0.000 0.000
0.500 0.500 0.500
0.000 0.500 0.000
0.000 0.000 0.500
0.500 0.000 0.000
```



The following is a PBEsol calculation of an optimized crystal structure of MgTi2B, from Alexandria via LeMat-Bulk.

Computed properties:
- ΔH_f (0 K): 302 meV/atom

```
MgTi2B
1.0
5.188 0.000 0.000
2.594 4.832 0.000
2.594 0.000 4.832
Mg Ti B
2 4 2
direct
0.000 0.000 0.000
0.750 0.500 0.500
0.875 0.567 0.933
0.558 0.067 0.567
0.192 0.933 0.433
0.375 0.433 0.067
0.250 0.500 0.500
0.500 0.000 0.000
```



The following is a PBEsol calculation of an optimized crystal structure of Zn2HgIr, from Alexandria via LeMat-Bulk.

Computed properties:
- ΔH_f (0 K): 23 meV/atom

```
Zn2HgIr
1.0
-3.122 1.589 -1.537
0.510 -1.990 -3.094
-1.086 -2.933 3.936
Zn Hg Ir
2 1 1
direct
0.001 0.001 0.003
0.752 0.252 0.504
0.500 0.500 0.999
0.247 0.747 0.494
```



The following is a PBEsol calculation of an optimized crystal structure of Gd2CoSi2, from Alexandria via LeMat-Bulk.

Computed properties:
- ΔE_f (raw): -0.799 eV/atom

```
Gd2CoSi2
1.0
-3.589 -1.930 -0.479
0.223 -3.737 -4.185
0.858 -7.224 5.108
Si Co Gd
4 2 4
direct
0.998 0.873 0.131
0.002 0.127 0.869
0.154 0.258 0.433
0.846 0.742 0.567
0.773 0.072 0.383
0.227 0.928 0.617
0.503 0.667 0.328
0.687 0.729 0.898
0.497 0.333 0.672
0.313 0.271 0.102
```



The following is a PBEsol calculation of an optimized crystal structure of La2BiO2, from Alexandria via LeMat-Bulk.

Computed properties:
- ΔE_f (raw): -2.714 eV/atom

```
La2BiO2
1.0
4.030 0.000 0.000
0.000 4.030 0.000
-2.015 -2.015 7.035
Bi La O
1 2 2
direct
0.000 0.000 0.000
0.664 0.664 0.328
0.336 0.336 0.672
0.750 0.250 0.500
0.250 0.750 0.500
```



The following is a PBEsol calculation of an optimized crystal structure of Li4Cr3Ni2Sb3O16, from Alexandria via LeMat-Bulk.

Computed properties:
- ΔE_f (raw): -1.575 eV/atom

```
Li4Cr3Ni2Sb3O16
1.0
-1.311 4.140 4.125
0.906 -1.197 5.798
8.842 3.526 -0.467
O Ni Cr Sb Li
16 2 3 3 4
direct
0.671 0.671 0.399
0.158 0.158 0.402
0.999 0.999 0.179
0.488 0.042 0.662
0.841 0.320 0.899
0.337 0.337 0.895
0.521 0.966 0.164
0.156 0.679 0.393
0.679 0.156 0.393
0.966 0.521 0.164
0.517 0.517 0.161
0.042 0.488 0.662
0.003 0.003 0.689
0.320 0.841 0.899
0.484 0.484 0.669
0.838 0.838 0.888
0.344 0.344 0.522
0.673 0.673 0.001
0.832 0.832 0.281
0.665 0.172 0.785
0.172 0.665 0.785
0.173 0.173 0.786
0.338 0.833 0.286
0.833 0.338 0.286
0.985 0.985 0.994
0.333 0.333 0.099
0.962 0.962 0.513
0.668 0.668 0.632
```



The following is a PBEsol calculation of an optimized crystal structure of SmScO3, from Alexandria via LeMat-Bulk.

Computed properties:
- ΔE_f (raw): -3.559 eV/atom

```
SmScO3
1.0
-1.851 4.301 2.863
0.085 -3.162 4.805
7.458 2.293 1.377
O Sc Sm
12 4 4
direct
0.618 0.047 0.250
0.118 0.453 0.750
0.305 0.697 0.062
0.805 0.803 0.562
0.305 0.697 0.438
0.195 0.197 0.438
0.382 0.953 0.750
0.195 0.197 0.062
0.805 0.803 0.938
0.695 0.303 0.938
0.882 0.547 0.250
0.695 0.303 0.562
0.500 0.000 0.000
0.500 0.000 0.500
0.000 0.500 0.000
0.000 0.500 0.500
0.482 0.439 0.250
0.018 0.939 0.250
0.982 0.061 0.750
0.518 0.561 0.750
```



The following is a PBEsol calculation of an optimized crystal structure of LaCoGe3, from Alexandria via LeMat-Bulk.

Computed properties:
- ΔH_f (0 K): -595 meV/atom

```
LaCoGe3
1.0
4.159 0.000 0.000
0.000 4.191 0.000
-2.079 0.000 10.811
Ge La Co
6 2 2
direct
0.057 0.000 0.114
0.443 0.500 0.886
0.557 0.500 0.114
0.286 0.000 0.572
0.943 0.000 0.886
0.714 0.000 0.428
0.168 0.500 0.336
0.832 0.500 0.664
0.393 0.000 0.787
0.607 0.000 0.213
```



The following is a PBEsol calculation of an optimized crystal structure of Cu2SiNi, from Alexandria via LeMat-Bulk.

Computed properties:
- ΔE_f (raw): -0.244 eV/atom

```
Cu2SiNi
1.0
3.571 0.000 0.000
0.000 3.571 0.000
-1.785 -1.785 3.460
Ni Cu Si
1 2 1
direct
0.500 0.500 0.000
0.000 0.000 0.000
0.250 0.750 0.500
0.750 0.250 0.500
```



The following is a PBEsol calculation of an optimized crystal structure of Mn9CdO10, from Alexandria via LeMat-Bulk.

Computed properties:
- ΔE_f (raw): -1.087 eV/atom

```
Mn9CdO10
1.0
-2.207 2.890 -3.984
2.991 -0.507 -4.461
-5.344 -4.742 -4.132
Cd Mn O
1 9 10
direct
0.500 0.500 0.000
0.898 0.500 0.204
0.602 0.000 0.797
0.102 0.500 0.796
0.000 0.000 0.000
0.797 0.000 0.406
0.298 0.500 0.404
0.398 0.000 0.203
0.203 0.000 0.594
0.702 0.500 0.596
0.135 0.759 0.211
0.654 0.241 0.211
0.346 0.759 0.789
0.762 0.762 0.000
0.052 0.252 0.399
0.948 0.748 0.601
0.865 0.241 0.789
0.451 0.252 0.601
0.238 0.238 0.000
0.549 0.748 0.399
```



The following is a PBEsol calculation of an optimized crystal structure of Tc2RhBr, from Alexandria via LeMat-Bulk.

Computed properties:
- ΔE_f (raw): 0.653 eV/atom
- Relative energy among the computed polymorphs: 25.6 kJ/mol of atoms

```
Tc2RhBr
1.0
-1.717 0.677 -2.075
-1.067 -0.310 2.545
1.449 8.823 1.680
Tc Br Rh
2 1 1
direct
0.500 0.500 0.766
0.000 0.000 0.996
0.000 0.000 0.502
0.500 0.500 0.235
```



The following is a PBEsol calculation of an optimized crystal structure of Ho2PdRh, from Alexandria via LeMat-Bulk.

Computed properties:
- ΔH_f (0 K): -880 meV/atom

```
Ho2PdRh
1.0
4.795 0.000 0.000
2.397 4.152 0.000
2.397 1.384 3.915
Ho Pd Rh
2 1 1
direct
0.250 0.250 0.250
0.750 0.750 0.750
0.500 0.500 0.500
0.000 0.000 0.000
```



The following is a PBEsol calculation of an optimized crystal structure of TlReSb2, from Alexandria via LeMat-Bulk.

Computed properties:
- ΔE_f (raw): 0.686 eV/atom
- Relative energy among the computed polymorphs: 33.0 kJ/mol of atoms

```
TlReSb2
1.0
-2.042 -2.314 -0.222
0.607 0.772 2.934
-7.762 6.871 -0.202
Sb Tl Re
2 1 1
direct
0.500 0.500 0.743
0.000 0.000 0.049
0.000 0.000 0.467
0.500 0.500 0.241
```



The following is a PBEsol calculation of an optimized crystal structure of CaNb3H, from Alexandria via LeMat-Bulk.

```
CaNb3H
1.0
4.690 0.000 0.000
0.000 4.690 0.000
0.000 0.000 4.690
Ca Nb H
1 3 1
direct
0.000 0.000 0.000
0.000 0.000 0.500
0.000 0.500 0.000
0.500 0.000 0.000
0.500 0.500 0.500
```



The following is a PBEsol calculation of an optimized crystal structure of InReAg2, from Alexandria via LeMat-Bulk.

Computed properties:
- ΔH_f (0 K): 428 meV/atom

```
InReAg2
1.0
2.774 0.038 0.000
-0.827 2.648 0.000
0.000 0.000 9.163
Ag Re In
2 1 1
direct
0.500 0.500 0.756
0.000 0.000 0.002
0.500 0.500 0.246
0.000 0.000 0.496
```



The following is a PBEsol calculation of an optimized crystal structure of Be2Au, from Alexandria via LeMat-Bulk.

Computed properties:
- ΔH_f (0 K): -99 meV/atom

```
Be2Au
1.0
-3.045 -2.353 1.140
3.304 0.245 2.266
-1.957 3.720 2.453
Be Au
4 2
direct
0.000 0.000 0.000
0.667 0.333 0.250
0.000 0.000 0.500
0.333 0.667 0.750
0.667 0.333 0.750
0.333 0.667 0.250
```



Number 1: VASP energy -6.67 eV per atom, magnetic moment 6.08 μB/f.u.. Number 2: VASP energy -5.60 eV per atom, magnetic moment 2.33 μB/f.u.. Number 3: VASP energy -1.95 eV per atom, magnetic moment 0.00 μB/f.u.. Number 4: VASP energy -10.12 eV per atom, magnetic moment 0.00 μB/f.u.. Number 5: VASP energy -3.85 eV per atom, magnetic moment 0.00 μB/f.u.. Number 6: VASP energy -6.04 eV per atom, magnetic moment 0.00 μB/f.u.. Number 7: VASP energy -3.37 eV per atom, magnetic moment 0.00 μB/f.u.. Number 8: VASP energy -10.42 eV per atom, magnetic moment 0.47 μB/f.u.. Number 9: VASP energy -7.81 eV per atom, magnetic moment 0.00 μB/f.u.. Number 10: VASP energy -6.88 eV per atom, magnetic moment 12.45 μB/f.u.. Number 11: VASP energy -9.05 eV per atom, magnetic moment 0.00 μB/f.u.. Number 12: VASP energy -6.17 eV per atom, magnetic moment 0.00 μB/f.u.. Number 13: VASP energy -5.39 eV per atom, magnetic moment 0.00 μB/f.u.. Number 14: VASP energy -8.16 eV per atom, magnetic moment 42.35 μB/f.u.. Number 15: VASP energy -7.48 eV per atom, magnetic moment 0.00 μB/f.u.. Number 16: VASP energy -6.88 eV per atom, magnetic moment 0.00 μB/f.u.. Number 17: VASP energy -5.58 eV per atom, magnetic moment 0.00 μB/f.u.. Number 18: VASP energy -4.58 eV per atom, magnetic moment 0.00 μB/f.u.. Number 19: VASP energy -5.31 eV per atom, magnetic moment 0.00 μB/f.u.. Number 20: VASP energy -4.07 eV per atom, magnetic moment 0.00 μB/f.u..